Entry 1:
An optimized crystal structure of SrIn4Hg4, computed with PBE-GGA.

Computed properties:
For the mass density, the calculation gives 8578 kg/m3. For the calculated total energy, the calculation gives -0.060 Ha/atom. The size of the total moment is 0.0 μB/cell.

a b c (Å): 6.706 6.706 11.615
angles (deg): 90.00 90.00 90.00
Space group P4_2/nmc (No. 137, origin choice 2)
Inequivalent atoms, fractional coordinates:
Sr  0.250  0.750  0.250 x2
In  0.030  0.250  0.185 x8
Hg  0.008  0.250  0.478 x8

---

Entry 2:
An optimized crystal structure of Sr3In9Hg2, computed with PBE-GGA.

Computed properties:
For the mass density, the calculation gives 7005 kg/m3. For the calculated total energy, the calculation gives -0.091 Ha/atom. The size of the total moment is 0.0 μB/cell.

a b c (Å): 4.956 11.331 14.330
angles (deg): 90.00 90.00 90.00
Space group Immm (No. 71)
Inequivalent atoms, fractional coordinates:
Sr  0.000  0.000  0.000 x2
Sr  0.000  0.000  0.310 x4
In  0.000  0.277  0.147 x8
In  0.000  0.371  0.346 x8
In  0.000  0.500  0.000 x2
Hg  0.000  0.181  0.500 x4

---

Entry 3:
An optimized crystal structure of Sr2InHg, computed with PBE-GGA.

Computed properties:
For the mass density, the calculation gives 5281 kg/m3. For the calculated total energy, the calculation gives -0.066 Ha/atom. The size of the total moment is 0.0 μB/cell.

a b c (Å): 8.946 8.946 7.711
angles (deg): 90.00 90.00 90.00
Space group I-42d (No. 122)
Inequivalent atoms, fractional coordinates:
Sr  0.236  0.750  0.125 x8
In  0.000  0.000  0.500 x4
Hg  0.000  0.000  0.000 x4

---

Entry 4:
An optimized crystal structure of Sr5InHg6, computed with PBE-GGA.

Computed properties:
For the mass density, the calculation gives 7884 kg/m3. For the calculated total energy, the calculation gives -0.057 Ha/atom. The size of the total moment is 0.0 μB/cell.

a b c (Å): 9.662 16.778 5.566
angles (deg): 90.00 124.91 90.00
Space group C2/m (No. 12)
Inequivalent atoms, fractional coordinates:
Sr  0.000  0.000  0.000 x2
Sr  0.000  0.170  0.500 x4
Sr  0.000  0.340  0.000 x4
In  0.000  0.500  0.500 x2
Hg  0.244  0.000  0.741 x4
Hg  0.250  0.165  0.251 x8